(1)
Here is a geometry-optimized Tm2Fe4B4Pt structure from the Open Quantum Materials Database. Energies are from PBE-GGA.

Its total energy is -322.12 eV/cell. The calculated density is 10.033 g/cm3. The calculation puts the total magnetization at 1.8 μB/f.u.

a = 5.1003 Å, b = 9.4017 Å, c = 11.0393 Å
α = 90.00°, β = 90.00°, γ = 90.00°
Last column: nearest neighbours and their distance in Å.
Space group Fmmm (No. 69)
Unique sites:
Tm 0.0000 0.0000 0.1468 [8 per cell]  8 B 2.86-3.14, 8 Fe 2.91-3.13, 2 Pt 3.02
Fe 0.2500 0.2500 0.0000 [8 per cell]  4 B 2.12
Fe 0.2500 0.2500 0.2500 [8 per cell]  4 B 1.96
B 0.0000 0.1667 0.3640 [16 per cell]  4 Fe 1.96-2.12, 1 Pt 2.17
Pt 0.0000 0.0000 0.5000 [4 per cell]  4 B 2.17

---

(2)
Here is a geometry-optimized Y2ErSc3P2Os structure from the Open Quantum Materials Database. Energies are from PBE-GGA.

Its total energy is -132.64 eV/cell. The calculated density is 6.294 g/cm3. The calculation puts the total magnetization at 0.1 μB/f.u.

a = 4.0625 Å, b = 12.8419 Å, c = 7.4043 Å
α = 90.00°, β = 90.00°, γ = 90.00°
Last column: nearest neighbours and their distance in Å.
Space group Amm2 (No. 38)
Unique sites:
Y 0.0000 0.2066 0.0000 [4 per cell]  4 P 3.02-3.03, 1 Os 3.08, 6 Sc 3.26-3.35
Er 0.0000 0.0000 0.3810 [2 per cell]  4 P 3.01, 1 Os 3.01, 6 Sc 3.29-3.34
Sc 0.5000 0.0000 0.0323 [2 per cell]  2 Os 2.72, 2 P 2.87
Sc 0.5000 0.1211 0.6718 [4 per cell]  2 Os 2.70, 2 P 2.86-2.89
P 0.5000 0.1655 0.2934 [4 per cell]  3 Sc 2.86-2.89, 2 Er 3.01, 4 Y 3.02-3.03
Os 0.0000 0.0000 0.7877 [2 per cell]  6 Sc 2.70-2.72, 1 Er 3.01

---

(3)
Here is a geometry-optimized Er4CICl4 structure from the Open Quantum Materials Database. Energies are from PBE-GGA.

Its total energy is -104.00 eV/cell. The calculated density is 6.110 g/cm3. The calculation puts the total magnetization at 0.0 μB/f.u.

a = 16.8197 Å, b = 3.7672 Å, c = 8.3939 Å
α = 90.00°, β = 103.94°, γ = 90.00°
Last column: nearest neighbours and their distance in Å.
Space group C2/m (No. 12)
Unique sites:
Er 0.0008 0.0000 0.3097 [4 per cell]  2 C 2.47, 1 Cl 2.73
Er 0.1441 0.5000 0.5748 [4 per cell]  1 C 2.35
C 0.0000 0.5000 0.5000 [2 per cell]  6 Er 2.35-2.47
I 0.0000 0.5000 0.0000 [2 per cell]  4 Er 3.21
Cl 0.1653 0.0000 0.8086 [4 per cell]  3 Er 2.68-2.73
Cl 0.1712 0.0000 0.3570 [4 per cell]  4 Er 2.74-3.02

---

(4)
Here is a geometry-optimized Li4PaGaO6 structure from the Open Quantum Materials Database. Energies are from PBE-GGA.

Its total energy is -152.72 eV/cell. The calculated density is 5.759 g/cm3. The calculation puts the total magnetization at 0.0 μB/f.u.

a = 5.3085 Å, b = 9.3270 Å, c = 5.2081 Å
α = 90.00°, β = 108.30°, γ = 90.00°
Last column: nearest neighbours and their distance in Å.
Space group C2 (No. 5)
Unique sites:
Li 0.0000 0.0000 0.0000 [2 per cell]  6 O 2.17-2.20
Li 0.0000 0.1395 0.5000 [2 per cell]  4 O 2.02-2.25
Li 0.0000 0.5328 0.5000 [2 per cell]  4 O 1.98-2.11
Li 0.0000 0.8325 0.5000 [2 per cell]  6 O 2.09-2.32
Pa 0.0000 0.3339 0.0000 [2 per cell]  6 O 2.18-2.20
Ga 0.0000 0.6667 0.0000 [2 per cell]  6 O 2.02-2.06
O 0.2278 0.8208 0.2384 [4 per cell]  1 Ga 2.03, 2 Li 2.09-2.20, 1 Pa 2.18
O 0.2334 0.5106 0.2407 [4 per cell]  3 Li 2.02-2.17, 1 Ga 2.06, 1 Pa 2.20
O 0.2377 0.6653 0.7635 [4 per cell]  3 Li 1.98-2.20, 1 Ga 2.02, 1 Pa 2.20

---

(5)
Here is a geometry-optimized LiMgZn2Cu4 structure from the Open Quantum Materials Database. Energies are from PBE-GGA.

Its total energy is -21.71 eV/cell. The calculated density is 6.652 g/cm3.

a = 4.1852 Å, b = 4.1852 Å, c = 5.9324 Å
α = 90.00°, β = 90.00°, γ = 90.00°
Last column: nearest neighbours and their distance in Å.
Space group P4/mmm (No. 123)
Unique sites:
Li 0.0000 0.0000 0.0000 [1 per cell]  8 Cu 2.52
Mg 0.5000 0.5000 0.5000 [1 per cell]  8 Cu 2.61
Zn 0.0000 0.0000 0.5000 [1 per cell]  8 Cu 2.61
Zn 0.5000 0.5000 0.0000 [1 per cell]  8 Cu 2.52
Cu 0.0000 0.5000 0.2363 [4 per cell]  4 Zn 2.52-2.61, 2 Li 2.52, 2 Mg 2.61, 1 Cu 2.80

---

(6)
Here is a geometry-optimized KInPdS3 structure from the Open Quantum Materials Database. Energies are from PBE-GGA.

The calculated density is 3.687 g/cm3. The value obtained for the polymorph energy (0 for the lowest one) is 0.0042 eV/atom.

a = 13.8349 Å, b = 4.1995 Å, c = 11.0536 Å
α = 90.00°, β = 90.00°, γ = 90.00°
Last column: nearest neighbours and their distance in Å.
Space group Pnma (No. 62)
Unique sites:
K 0.2301 0.2500 0.0664 [4 per cell]  4 S 3.16-3.38
In 0.0245 0.2500 0.3637 [4 per cell]  6 S 2.53-2.80
Pd 0.0213 0.7500 0.0820 [4 per cell]  4 S 2.35-2.42
S 0.0416 0.7500 0.8643 [4 per cell]  3 Pd 2.35-2.42
S 0.0990 0.2500 0.5724 [4 per cell]  3 In 2.53-2.80
S 0.1163 0.7500 0.2587 [4 per cell]  1 Pd 2.35

---

> The highest calculated density belongs to which entry?

Tm2Fe4B4Pt